First-principles (PBE) data for a geometry-optimized Ti2TeAsC structure, as listed in Alexandria.

## Properties
**Space group**: P4/mmm

Cell lengths 4.555, 3.934, 4.555 Å; angles 90.00, 90.00, 90.00 degrees
Fractional coordinates of all 5 atoms:
As 0.000 0.500 0.000
Te 0.500 0.500 0.500
C 0.000 0.000 0.000
Ti 0.000 0.000 0.500
Ti 0.500 0.000 0.000

***

First-principles (PBE) data for a geometry-optimized YGe3Br structure, as listed in Alexandria.

## Properties
**Space group**: Pm-3m
**Energy above the most stable polymorph in this dataset**: 0.161 eV per atom

Cell lengths 5.610, 5.610, 5.610 Å; angles 90.00, 90.00, 90.00 degrees
Fractional coordinates of all 5 atoms:
Y 0.000 0.000 0.000
Ge 0.000 0.500 0.000
Ge 0.000 0.000 0.500
Ge 0.500 0.000 0.000
Br 0.500 0.500 0.500

***

First-principles (PBE) data for a geometry-optimized Tm6ScPd3 structure, as listed in Alexandria.

## Properties
**Space group**: Cmc2_1

Cell lengths 7.064, 8.571, 8.571 Å; angles 98.90, 90.00, 90.00 degrees
Fractional coordinates of all 20 atoms:
Tm 0.169 0.702 0.627
Tm 0.669 0.627 0.702
Tm 0.324 0.574 0.966
Tm 0.824 0.966 0.574
Tm 0.153 0.040 0.960
Tm 0.525 0.228 0.772
Tm 0.025 0.772 0.228
Tm 0.653 0.960 0.040
Tm 0.324 0.034 0.426
Tm 0.824 0.426 0.034
Tm 0.169 0.373 0.298
Tm 0.669 0.298 0.373
Sc 0.039 0.318 0.682
Sc 0.539 0.682 0.318
Pd 0.456 0.911 0.710
Pd 0.956 0.710 0.911
Pd 0.371 0.416 0.584
Pd 0.871 0.584 0.416
Pd 0.956 0.089 0.290
Pd 0.456 0.290 0.089

***

Density of states at the Fermi level in states/eV per atom, matching the order above: 0.76; 1.66; 1.15
Magnetic moment in μB/cell, matching the order above: 0.0; 0.0; 0.0
Total DFT energy (no corrections) in eV per atom, matching the order above: -6.467; -3.715; -5.384